Entry from Alexandria via LeMat-Bulk: a relaxed structure of BaSn3Au3 (GGA-PBE).

Values from the calculation:
- ΔE to the lowest computed polymorph (eV per atom) = 0.0481
- ΔH_f (0 K) (eV per formula unit) = -2.1
- E_tot (Ha/atom) = -0.136
- spin magnetization (μB/f.u.) = 0.00

POSCAR file:
```
BaSn3Au3
1.0
-0.731 -5.646 5.773
5.904 -0.996 5.467
-1.727 3.017 8.426
Au Sn Ba
6 6 2
Direct
0.096 0.738 0.695
0.262 0.529 0.305
0.904 0.262 0.305
0.738 0.471 0.695
0.471 0.096 0.695
0.529 0.904 0.305
0.406 0.811 0.668
0.886 0.594 0.332
0.811 0.114 0.668
0.114 0.406 0.668
0.594 0.189 0.332
0.189 0.886 0.332
0.334 0.334 0.997
0.666 0.666 0.003
```